1.
Computed, not measured: a geometry-optimized PmPr3Ho6Er2 structure at the PBE-GGA level of DFT.

raw total energy = -4.620 eV per atom
Fermi-level density of states = 30.8 states/eV/cell
formation energy from the elements = 20.0 meV per atom
V = 776 Å³ per cell

Unit cell a=6.2079 b=10.7490 c=11.8180 alpha=90.00 beta=100.05 gamma=90.00
Closest atoms and distances in Å follow each position.
Space group C2/m (No. 12)
Asymmetric unit:
Pm (0.0000, 0.0000, 0.0000) [2 per cell]  6 Ho 3.53, 6 Er 3.58
Pr (0.0000, 0.1669, 0.5000) [4 per cell]  6 Pr 3.58-3.59, 6 Ho 3.60-3.61
Pr (0.0000, 0.5000, 0.5000) [2 per cell]  6 Pr 3.58, 6 Ho 3.61
Ho (0.2485, 0.5000, 0.2461) [4 per cell]  1 Pm 3.53, 2 Er 3.53, 6 Ho 3.58-3.59, 3 Pr 3.61
Ho (0.2494, 0.1669, 0.2460) [8 per cell]  2 Er 3.53, 1 Pm 3.53, 6 Ho 3.58-3.59, 3 Pr 3.60-3.61
Er (0.0000, 0.3332, 0.0000) [4 per cell]  6 Ho 3.53, 3 Pm 3.58, 3 Er 3.58


2.
Computed, not measured: a geometry-optimized SmDy3Pb4 structure at the PBE-GGA level of DFT.

raw total energy = -4.620 eV per atom
Fermi-level density of states = 10.9 states/eV/cell
formation energy from the elements = -450.5 meV per atom
V = 464 Å³ per cell

Unit cell a=11.1895 b=6.4370 c=6.4386 alpha=90.00 beta=90.00 gamma=90.00
Closest atoms and distances in Å follow each position.
Space group Pmna (No. 53)
Asymmetric unit:
Sm (0.0000, 0.0000, 0.0000) [2 per cell]  4 Pb 3.22
Dy (0.0000, 0.5000, 0.5000) [2 per cell]  4 Pb 3.22, 4 Dy 3.60
Dy (0.2500, 0.2507, 0.2500) [4 per cell]  4 Pb 3.21-3.22
Pb (0.0000, 0.0000, 0.5000) [2 per cell]  2 Dy 3.22, 2 Sm 3.22
Pb (0.0000, 0.5000, 0.0000) [2 per cell]  2 Sm 3.22, 6 Dy 3.22-3.60
Pb (0.2500, 0.2500, 0.7500) [4 per cell]  4 Dy 3.21-3.22


3.
Computed, not measured: a geometry-optimized BaAu2Cl6 structure at the PBE-GGA level of DFT.

raw total energy = -3.125 eV per atom
Fermi-level density of states = 9.4 states/eV/cell
relative energy among the computed polymorphs = 0.000 eV per atom
V = 1154 Å³ per cell

Unit cell a=15.5908 b=9.8374 c=9.4673 alpha=90.00 beta=127.37 gamma=90.00
Closest atoms and distances in Å follow each position.
Space group C2/c (No. 15)
Asymmetric unit:
Ba (0.0000, 0.1739, 0.2500) [4 per cell]  8 Cl 3.16-3.36
Au (0.1856, 0.4404, 0.7013) [8 per cell]  4 Cl 2.34-2.55
Cl (0.0204, 0.3276, 0.5624) [8 per cell]  1 Au 2.34
Cl (0.1307, 0.9999, 0.1331) [8 per cell]  1 Au 2.36
Cl (0.1775, 0.4291, 0.4256) [8 per cell]  2 Au 2.54-2.55


4.
Computed, not measured: a geometry-optimized Ba2InSbP structure at the PBE-GGA level of DFT.

raw total energy = -3.625 eV per atom
Fermi-level density of states = 2.9 states/eV/cell
relative energy among the computed polymorphs = 0.376 eV per atom
V = 198 Å³ per cell

Unit cell a=6.1695 b=6.1695 c=5.1958 alpha=90.00 beta=90.00 gamma=90.00
Closest atoms and distances in Å follow each position.
Space group P4/mmm (No. 123)
Asymmetric unit:
Ba (0.0000, 0.5000, 0.0000) [2 per cell]  2 P 3.08
In (0.0000, 0.0000, 0.5000) [1 per cell]  8 Ba 4.03, 4 Sb 4.36
Sb (0.5000, 0.5000, 0.5000) [1 per cell]  2 P 2.60
P (0.5000, 0.5000, 0.0000) [1 per cell]  2 Sb 2.60


5.
Computed, not measured: a geometry-optimized BaSrPa4N8 structure at the PBE-GGA level of DFT.

raw total energy = -9.100 eV per atom
V = 780 Å³ per cell

Unit cell a=7.1434 b=7.1434 c=17.6596 alpha=90.00 beta=90.00 gamma=120.00
Closest atoms and distances in Å follow each position.
Space group R3m (No. 160, hexagonal axes)
Asymmetric unit:
Ba (0.0000, 0.0000, 0.0000) [3 per cell]  4 N 2.62-2.69
Sr (0.0000, 0.0000, 0.3777) [3 per cell]  6 N 2.54-2.66
Pa (0.0000, 0.0000, 0.7638) [3 per cell]  3 N 2.17
Pa (0.0082, 0.5041, 0.8791) [9 per cell]  3 N 2.17-2.28
N (0.0000, 0.0000, 0.1521) [3 per cell]  3 Pa 2.28
N (0.0000, 0.0000, 0.6171) [3 per cell]  4 Pa 2.46-2.59
N (0.1681, 0.3362, 0.4713) [9 per cell]  1 Pa 2.17
N (0.1930, 0.3860, 0.9393) [9 per cell]  2 Pa 2.17


6.
Computed, not measured: a geometry-optimized SrCo2Pb structure at the PBE-GGA level of DFT.

raw total energy = -4.267 eV per atom
Fermi-level density of states = 13.3 states/eV/cell
formation energy from the elements = 633.8 meV per atom
V = 167 Å³ per cell

Unit cell a=4.2589 b=4.2589 c=9.1887 alpha=90.00 beta=90.00 gamma=90.00
Closest atoms and distances in Å follow each position.
Space group I-4m2 (No. 119)
Asymmetric unit:
Sr (0.0000, 0.0000, 0.0000) [2 per cell]  8 Co 3.01-3.13, 4 Pb 3.13
Co (0.0000, 0.0000, 0.5000) [2 per cell]  4 Sr 3.01, 4 Pb 3.13, 4 Co 3.13
Co (0.0000, 0.5000, 0.7500) [2 per cell]  4 Pb 3.01, 4 Co 3.13, 4 Sr 3.13
Pb (0.0000, 0.5000, 0.2500) [2 per cell]  8 Co 3.01-3.13, 4 Sr 3.13


7.
Computed, not measured: a geometry-optimized Zr3SnW structure at the PBE-GGA level of DFT.

raw total energy = -7.878 eV per atom
Fermi-level density of states = 7.4 states/eV/cell
relative energy among the computed polymorphs = 0.000 eV per atom
formation energy from the elements = 642.1 meV per atom
V = 132 Å³ per cell

Unit cell a=5.0856 b=5.0856 c=5.0856 alpha=90.00 beta=90.00 gamma=90.00
Closest atoms and distances in Å follow each position.
Space group Pm-3m (No. 221)
Asymmetric unit:
Zr (0.0000, 0.0000, 0.5000) [3 per cell]  2 W 2.54
Sn (0.5000, 0.5000, 0.5000) [1 per cell]  12 Zr 3.60
W (0.0000, 0.0000, 0.0000) [1 per cell]  6 Zr 2.54


8.
Computed, not measured: a geometry-optimized Tm2ZrSc structure at the PBE-GGA level of DFT.

raw total energy = -5.896 eV per atom
Fermi-level density of states = 20.1 states/eV/cell
relative energy among the computed polymorphs = 0.000 eV per atom
formation energy from the elements = 59.6 meV per atom
V = 321 Å³ per cell

Unit cell a=3.3855 b=3.3855 c=32.3145 alpha=90.00 beta=90.00 gamma=120.00
Closest atoms and distances in Å follow each position.
Space group R3m (No. 160, hexagonal axes)
Asymmetric unit:
Tm (0.0000, 0.0000, 0.0000) [3 per cell]  3 Zr 3.29, 6 Tm 3.39, 3 Sc 3.39
Tm (0.0000, 0.0000, 0.1629) [3 per cell]  3 Zr 3.26, 3 Sc 3.36, 6 Tm 3.39
Zr (0.0000, 0.0000, 0.4154) [3 per cell]  6 Tm 3.26-3.29, 6 Zr 3.39
Sc (0.0000, 0.0000, 0.5810) [3 per cell]  6 Tm 3.36-3.39, 6 Sc 3.39


9.
Computed, not measured: a geometry-optimized Nd3Er2Se6 structure at the PBE-GGA level of DFT.

raw total energy = -5.844 eV per atom
Fermi-level density of states = 13.9 states/eV/cell
V = 934 Å³ per cell

Unit cell a=4.1589 b=4.1589 c=62.3843 alpha=90.00 beta=90.00 gamma=120.00
Closest atoms and distances in Å follow each position.
Space group R-3m (No. 166, hexagonal axes)
Asymmetric unit:
Nd (0.0000, 0.0000, 0.0000) [3 per cell]  6 Se 2.98
Nd (0.0000, 0.0000, 0.2775) [6 per cell]  6 Se 2.95-3.04
Er (0.0000, 0.0000, 0.4480) [6 per cell]  6 Se 2.75-3.01
Se (0.0000, 0.0000, 0.0856) [6 per cell]  3 Er 3.01, 3 Nd 3.04
Se (0.0000, 0.0000, 0.1971) [6 per cell]  3 Er 2.75
Se (0.0000, 0.0000, 0.3616) [6 per cell]  6 Nd 2.95-2.98


10.
Computed, not measured: a geometry-optimized Ba2Ga6IrRu structure at the PBE-GGA level of DFT.

raw total energy = -4.501 eV per atom
Fermi-level density of states = 7.5 states/eV/cell
formation energy from the elements = -486.2 meV per atom
V = 465 Å³ per cell

Unit cell a=6.9008 b=6.9095 c=9.7552 alpha=90.00 beta=90.00 gamma=90.00
Closest atoms and distances in Å follow each position.
Space group Immm (No. 71)
Asymmetric unit:
Ba (0.0000, 0.0000, 0.2501) [4 per cell]  12 Ga 3.45
Ga (0.0000, 0.5000, 0.2486) [4 per cell]  1 Ru 2.43, 1 Ir 2.45
Ga (0.2484, 0.2512, 0.0000) [8 per cell]  1 Ru 2.43, 1 Ir 2.45
Ir (0.0000, 0.5000, 0.5000) [2 per cell]  6 Ga 2.45
Ru (0.0000, 0.5000, 0.0000) [2 per cell]  6 Ga 2.43


11.
Computed, not measured: a geometry-optimized BaHg3B structure at the PBE-GGA level of DFT.

raw total energy = -0.614 eV per atom
Fermi-level density of states = 11.6 states/eV/cell
relative energy among the computed polymorphs = 1.043 eV per atom
formation energy from the elements = 1286.8 meV per atom
V = 300 Å³ per cell

Unit cell a=6.6957 b=6.6957 c=6.6957 alpha=90.00 beta=90.00 gamma=90.00
Closest atoms and distances in Å follow each position.
Space group Pm-3m (No. 221)
Asymmetric unit:
Ba (0.0000, 0.0000, 0.0000) [1 per cell]  6 Hg 3.35
Hg (0.0000, 0.0000, 0.5000) [3 per cell]  2 Ba 3.35
B (0.5000, 0.5000, 0.5000) [1 per cell]  12 Hg 4.73


12.
Computed, not measured: a geometry-optimized SnB2Te structure at the PBE-GGA level of DFT.

raw total energy = -4.592 eV per atom
Fermi-level density of states = 0.0 states/eV/cell
relative energy among the computed polymorphs = 0.000 eV per atom
V = 298 Å³ per cell

Unit cell a=5.3120 b=5.3120 c=10.5513 alpha=90.00 beta=90.00 gamma=90.00
Closest atoms and distances in Å follow each position.
Space group I-42d (No. 122)
Asymmetric unit:
Sn (0.0000, 0.0000, 0.0000) [4 per cell]  4 B 2.31
B (0.2466, 0.2500, 0.6250) [8 per cell]  2 Te 2.28, 2 Sn 2.31
Te (0.0000, 0.0000, 0.5000) [4 per cell]  4 B 2.28